<a>
{"formula": "CrGa2Ru2", "functional": "PBE-GGA", "state": "relaxed", "lattice": [[6.929, 0.000, 0.000], [0.000, 6.929, 0.000], [0.000, 0.000, 3.128]], "species": ["Ru", "Ru", "Ru", "Ru", "Ga", "Ga", "Ga", "Ga", "Cr", "Cr"], "fractional_positions": [[0.359, 0.859, 0.000], [0.859, 0.641, 0.000], [0.641, 0.141, 0.000], [0.141, 0.359, 0.000], [0.158, 0.658, 0.500], [0.658, 0.842, 0.500], [0.842, 0.342, 0.500], [0.342, 0.158, 0.500], [0.000, 0.000, 0.000], [0.500, 0.500, 0.000]], "magnetic_moment_mub_per_cell": 6.0}

<b>
{"formula": "CrGa2Ru2", "functional": "PBE-GGA", "state": "relaxed", "lattice": [[-6.640, 1.748, 0.791], [0.387, -1.570, 6.720], [0.806, 2.790, 0.605]], "species": ["Ru", "Ru", "Ru", "Ru", "Ga", "Ga", "Ga", "Ga", "Cr", "Cr"], "fractional_positions": [[0.162, 0.662, 0.500], [0.662, 0.838, 0.500], [0.838, 0.338, 0.500], [0.338, 0.162, 0.500], [0.362, 0.862, 0.000], [0.862, 0.638, 0.000], [0.638, 0.138, 0.000], [0.138, 0.362, 0.000], [0.000, 0.000, 0.000], [0.500, 0.500, 0.000]], "magnetic_moment_mub_per_cell": 0.0}

<a> ends up most stable, edging out the next structure by 77 meV/atom.

<a>
{"formula": "Cr3GaRu", "functional": "PBE-GGA", "state": "relaxed", "lattice": [[-2.909, -0.278, 3.120], [-1.987, -3.127, -2.132], [2.422, -2.901, 1.998]], "species": ["Ru", "Ga", "Cr", "Cr", "Cr"], "fractional_positions": [[0.500, 0.500, 0.500], [0.000, 0.000, 0.000], [0.000, 0.500, 0.000], [0.000, 0.000, 0.500], [0.500, 0.000, 0.000]], "magnetic_moment_mub_per_cell": 0.0}

<b>
{"formula": "Cr3GaRu", "functional": "PBE-GGA", "state": "relaxed", "lattice": [[4.655, 0.000, 0.000], [0.000, 4.655, 0.000], [0.000, 0.000, 4.655]], "species": ["Ru", "Ga", "Cr", "Cr", "Cr"], "fractional_positions": [[0.000, 0.000, 0.000], [0.500, 0.500, 0.500], [0.000, 0.500, 0.000], [0.000, 0.000, 0.500], [0.500, 0.000, 0.000]], "magnetic_moment_mub_per_cell": 9.1}

<b> ends up most stable, edging out the next structure by 475 meV/atom.

<a>
{"formula": "Cr3GaS", "functional": "PBE-GGA", "state": "relaxed", "lattice": [[4.140, 0.000, 0.000], [0.000, 4.140, 0.000], [0.000, 0.000, 4.140]], "species": ["Cr", "Cr", "Cr", "S", "Ga"], "fractional_positions": [[0.000, 0.500, 0.000], [0.000, 0.000, 0.500], [0.500, 0.000, 0.000], [0.000, 0.000, 0.000], [0.500, 0.500, 0.500]], "magnetic_moment_mub_per_cell": 0.0}

<b>
{"formula": "Cr3GaS", "functional": "PBE-GGA", "state": "relaxed", "lattice": [[-3.268, -2.681, -2.087], [3.141, -1.278, -3.275], [1.296, -3.661, 2.673]], "species": ["Cr", "Cr", "Cr", "S", "Ga"], "fractional_positions": [[0.000, 0.500, 0.000], [0.000, 0.000, 0.500], [0.500, 0.000, 0.000], [0.500, 0.500, 0.500], [0.000, 0.000, 0.000]], "magnetic_moment_mub_per_cell": 11.2}

<a> ends up most stable, edging out the next structure by 787 meV/atom.

<a>
{"formula": "Cr3GaSb", "functional": "PBE-GGA", "state": "relaxed", "lattice": [[-1.206, 2.467, -4.359], [4.116, -2.067, -2.309], [-2.854, -4.023, -1.487]], "species": ["Sb", "Ga", "Cr", "Cr", "Cr"], "fractional_positions": [[0.000, 0.000, 0.000], [0.500, 0.500, 0.500], [0.000, 0.500, 0.000], [0.000, 0.000, 0.500], [0.500, 0.000, 0.000]], "magnetic_moment_mub_per_cell": 12.9}

<b>
{"formula": "Cr3GaSb", "functional": "PBE-GGA", "state": "relaxed", "lattice": [[4.692, 0.000, 0.000], [0.000, 4.692, 0.000], [0.000, 0.000, 4.692]], "species": ["Sb", "Ga", "Cr", "Cr", "Cr"], "fractional_positions": [[0.500, 0.500, 0.500], [0.000, 0.000, 0.000], [0.000, 0.500, 0.000], [0.000, 0.000, 0.500], [0.500, 0.000, 0.000]], "magnetic_moment_mub_per_cell": 10.2}

<b> ends up most stable, edging out the next structure by 320 meV/atom.